[1]
LiCaFe2 | meta-GGA SCAN | PBEsol geometry

Lattice parameters (Å, degrees): 3.1896 4.1411 4.6153 90.00 90.00 90.00
Last column: nearest neighbours and their distance in Å.
Sites, in units of the cell vectors:
Li: 0.0000 0.0000 0.0000  4 Ca 2.61, 4 Fe 2.81
Ca: 0.5000 0.5000 0.0000  4 Li 2.61, 4 Fe 2.81
Fe: 0.0000 0.5000 0.5000  4 Fe 2.61, 4 Ca 2.81
Fe: 0.5000 0.0000 0.5000  4 Fe 2.61, 4 Li 2.81

Crystal system = orthorhombic
V = 15.2 Å³/atom
Energy = -11.51 eV per atom
ΔH_f (0 K) = 0.5687 eV/atom

---

[2]
LiCa2MgFe | meta-GGA SCAN | PBEsol geometry

Lattice parameters (Å, degrees): 5.3699 5.3699 4.8823 90.00 90.00 90.00
Last column: nearest neighbours and their distance in Å.
Sites, in units of the cell vectors:
Li: 0.0000 0.0000 0.0000  2 Mg 2.44, 4 Ca 2.68
Ca: 0.0000 0.5000 0.0000  2 Li 2.68
Ca: 0.5000 0.0000 0.0000  2 Li 2.68
Mg: 0.0000 0.0000 0.5000  2 Li 2.44
Fe: 0.5000 0.5000 0.5000  8 Ca 3.63, 4 Mg 3.80

Crystal system = tetragonal
V = 28.2 Å³/atom
Energy = -8.21 eV per atom
ΔH_f (0 K) = 0.7577 eV/atom

---

[3]
LiCa2FeN2 | meta-GGA SCAN | PBEsol geometry

Lattice parameters (Å, degrees): 5.2765 5.2765 6.6090 90.00 90.00 90.00
Last column: nearest neighbours and their distance in Å.
Sites, in units of the cell vectors:
Li: 0.0000 0.0000 0.0000  2 N 1.93
Li: 0.5000 0.5000 0.5000  2 N 1.93
Ca: 0.0000 0.5000 0.2500  4 N 2.49
Ca: 0.0000 0.5000 0.7500  4 N 2.49
Ca: 0.5000 0.0000 0.2500  4 N 2.49
Ca: 0.5000 0.0000 0.7500  4 N 2.49
Fe: 0.0000 0.0000 0.5000  2 N 1.80
Fe: 0.5000 0.5000 0.0000  2 N 1.80
N: 0.2412 0.2412 0.5000  1 Fe 1.80, 1 Li 1.93
N: 0.2588 0.7412 0.0000  1 Fe 1.80, 1 Li 1.93
N: 0.7412 0.2588 0.0000  1 Fe 1.80, 1 Li 1.93
N: 0.7588 0.7588 0.5000  1 Fe 1.80, 1 Li 1.93

Crystal system = tetragonal
Formation energy from raw total energies = -77.9 kJ/mol of atoms
V = 15.3 Å³/atom
Energy = -10.55 eV per atom

---

[4]
LiCa2FePd | meta-GGA SCAN | PBEsol geometry

Lattice parameters (Å, degrees): 5.2929 5.2929 4.5880 90.00 90.00 90.00
Last column: nearest neighbours and their distance in Å.
Sites, in units of the cell vectors:
Li: 0.0000 0.0000 0.0000  8 Ca 3.50, 4 Pd 3.74
Ca: 0.0000 0.5000 0.5000  2 Fe 2.65
Ca: 0.5000 0.0000 0.5000  2 Fe 2.65
Fe: 0.5000 0.5000 0.5000  2 Pd 2.29
Pd: 0.5000 0.5000 0.0000  2 Fe 2.29

Crystal system = tetragonal
V = 25.7 Å³/atom
Energy = -14.27 eV per atom
ΔH_f (0 K) = 0.2547 eV/atom

---

[5]
LiCaFeS2 | meta-GGA SCAN | PBEsol geometry

Lattice parameters (Å, degrees): 4.6299 4.6299 3.9998 90.00 90.00 90.00
Last column: nearest neighbours and their distance in Å.
Sites, in units of the cell vectors:
Li: 0.0000 0.0000 0.0000  2 Fe 2.00
Ca: 0.5000 0.5000 0.5000  8 S 3.06, 4 Fe 3.27
Fe: 0.0000 0.0000 0.5000  2 Li 2.00
S: 0.0000 0.5000 0.0000  2 Li 2.31
S: 0.5000 0.0000 0.0000  2 Li 2.31

Crystal system = tetragonal
Formation energy from raw total energies = -45.0 kJ/mol of atoms
V = 17.1 Å³/atom
Energy = -10.35 eV per atom

---

[6]
LiCaZrFe2 | meta-GGA SCAN | PBEsol geometry

Lattice parameters (Å, degrees): 4.4328 4.4328 4.5911 90.00 90.00 90.00
Last column: nearest neighbours and their distance in Å.
Sites, in units of the cell vectors:
Li: 0.0000 0.0000 0.0000  4 Fe 2.22, 2 Zr 2.30
Ca: 0.5000 0.5000 0.5000  4 Zr 3.13, 8 Fe 3.19
Zr: 0.0000 0.0000 0.5000  2 Li 2.30
Fe: 0.0000 0.5000 0.0000  2 Li 2.22
Fe: 0.5000 0.0000 0.0000  2 Li 2.22

Crystal system = tetragonal
V = 18.0 Å³/atom
Energy = -14.93 eV per atom
ΔH_f (0 K) = 0.8718 eV/atom

---

[7]
CaMg2Fe | meta-GGA SCAN | PBEsol geometry

Lattice parameters (Å, degrees): 4.3535 4.3535 4.5778 90.00 90.00 90.00
Last column: nearest neighbours and their distance in Å.
Sites, in units of the cell vectors:
Ca: 0.0000 0.0000 0.0000  4 Fe 3.08, 8 Mg 3.16
Mg: 0.0000 0.5000 0.5000  4 Mg 3.08, 4 Fe 3.16, 4 Ca 3.16
Mg: 0.5000 0.0000 0.5000  4 Mg 3.08, 4 Fe 3.16, 4 Ca 3.16
Fe: 0.5000 0.5000 0.0000  4 Ca 3.08, 8 Mg 3.16

Crystal system = tetragonal
V = 21.7 Å³/atom
Energy = -9.12 eV per atom
ΔH_f (0 K) = 0.3176 eV/atom

---

[8]
CaMgFe | meta-GGA SCAN | PBEsol geometry

Lattice parameters (Å, degrees): 3.1662 3.1662 7.2993 90.00 90.00 120.00
Last column: nearest neighbours and their distance in Å.
Sites, in units of the cell vectors:
Ca: 0.0000 0.0000 0.0000  3 Fe 2.91, 6 Ca 3.17
Mg: 0.3333 0.6667 0.4064  3 Fe 2.76
Fe: 0.6667 0.3333 0.6905  3 Mg 2.76, 3 Ca 2.91

Crystal system = trigonal
V = 21.1 Å³/atom
Energy = -10.36 eV per atom
ΔH_f (0 K) = 0.5574 eV/atom

---

- The highest energy belongs to which entry?
  LiCa2MgFe